This record from Alexandria via LeMat-Bulk describes a relaxed structure of MnHgNO2. The functional is PBE with a Hubbard U.

Results
Crystal system ... tetragonal
Energy ... -21.59 eV per cell

Unit cell a=4.2559 b=4.2559 c=4.1038 alpha=90.00 beta=90.00 gamma=90.00
Sites, in units of the cell vectors:
N1 0.0000 0.0000 0.5000
O1 0.5000 0.0000 0.0000
O2 0.0000 0.5000 0.0000
Hg1 0.0000 0.0000 0.0000
Mn1 0.5000 0.5000 0.5000